No. 1
## PmSm3Pd (GGA-PBE)

Data for a geometry-optimized PmSm3Pd structure.

Cell: 12.388 3.830 13.700 Å, 90.00 112.63 90.00°
Space group Cm (No. 8)
Asymmetric unit:
Pm1 0.000 0.000 0.000 [2 per cell]
Pm2 0.121 0.000 0.297 [2 per cell]
Sm1 0.010 0.000 0.681 [2 per cell]
Sm2 0.154 0.500 0.535 [2 per cell]
Sm3 0.191 0.500 0.913 [2 per cell]
Sm4 0.318 0.000 0.767 [2 per cell]
Sm5 0.354 0.000 0.147 [2 per cell]
Sm6 0.388 0.500 0.386 [2 per cell]
Pd1 0.161 0.500 0.151 [2 per cell]
Pd2 0.350 0.000 0.532 [2 per cell]

Summary:
Magnetization   0.00 μB/f.u.
Energy above the lowest structure with this stoichiometry   0 meV per atom
Energy of formation from the pure elements   -7.34 kcal/mol of atoms

=====

No. 2
## Li2CaIn2Pd2 (GGA-PBE)

Data for a geometry-optimized Li2CaIn2Pd2 structure.

Cell: 7.886 4.555 8.420 Å, 90.00 107.60 90.00°
Space group C2/m (No. 12)
Asymmetric unit:
Li1 0.085 0.000 0.256 [4 per cell]
Ca1 0.000 0.500 0.500 [2 per cell]
In1 0.133 0.500 0.896 [4 per cell]
Pd1 0.247 0.500 0.244 [4 per cell]

Summary:
Magnetization   0.00 μB/f.u.
Energy of formation from the pure elements   -10.36 kcal/mol of atoms

=====

No. 3
## SbMo4Os (GGA-PBE)

Data for a geometry-optimized SbMo4Os structure.

Cell: 7.402 7.402 7.402 Å, 90.00 90.00 90.00°
Space group F-43m (No. 216)
Asymmetric unit:
Sb1 0.000 0.000 0.000 [4 per cell]
Mo1 0.126 0.126 0.374 [16 per cell]
Os1 0.250 0.250 0.750 [4 per cell]

Summary:
Magnetization   0.00 μB/f.u.
Energy relative to the elements, uncorrected   0.55 eV/atom